1.
A plane-wave DFT calculation with PBE-GGA was carried out for a relaxed structure of ZnSnBi2.

Cell and atoms, written as POSCAR:
```
ZnSnBi2
1.0
3.3957 0.0000 0.0000
0.0000 5.7324 0.0000
0.0000 0.0000 5.7324
Zn Bi Sn
1 2 1
Cartesian
1.6979 0.0000 0.0000 Zn
0.0000 0.0000 2.8662 Bi
0.0000 2.8662 0.0000 Bi
1.6979 2.8662 2.8662 Sn
```

Calculated values
ΔE_f (meV/atom): 194
Volume (Å³/atom): 27.896
D(E_F) (states/eV per atom): 0.792

***

2.
A plane-wave DFT calculation with PBE-GGA was carried out for a relaxed structure of Zn2SnBi2.

Cell and atoms, written as POSCAR:
```
Zn2SnBi2
1.0
8.8073 0.0000 0.0000
0.0000 8.8073 0.0000
0.0000 0.0000 3.3783
Zn Bi Sn
4 4 2
Cartesian
0.9459 5.3496 1.6891 Zn
5.3496 7.8613 1.6891 Zn
7.8613 3.4577 1.6891 Zn
3.4577 0.9459 1.6891 Zn
2.7424 7.1461 0.0000 Bi
7.1461 6.0649 0.0000 Bi
6.0649 1.6612 0.0000 Bi
1.6612 2.7424 0.0000 Bi
0.0000 0.0000 0.0000 Sn
4.4036 4.4036 0.0000 Sn
```

Calculated values
Energy above the most stable polymorph in this dataset (meV/atom): 25
ΔE_f (meV/atom): 163
Volume (Å³/atom): 26.205
D(E_F) (states/eV per atom): 0.283

***

3.
A plane-wave DFT calculation with PBE-GGA was carried out for a relaxed structure of ZnSnBi2.

Cell and atoms, written as POSCAR:
```
ZnSnBi2
1.0
4.5141 0.0000 0.0000
2.2571 3.9093 0.0000
2.2571 1.3031 6.6866
Zn Sn Bi
1 1 2
Cartesian
6.7712 3.9093 6.6415 Zn
4.5141 2.6062 3.3285 Sn
2.2571 1.3031 5.3013 Bi
2.2571 1.3031 1.4453 Bi
```

Calculated values
ΔE_f (meV/atom): 127
Volume (Å³/atom): 29.500
D(E_F) (states/eV per atom): 0.460